Run w
BAsPt3 | PBE | optimized geometry

Values from the calculation:
Total magnetization, μB/cell: 0.00
Symmetry: Pm-3m, No. 221

abc: 4.6764 4.6764 4.6764
angles: 90.00 90.00 90.00
Fractional positions:
B 0.5000 0.5000 0.5000
As 0.0000 0.0000 0.0000
Pt 0.5000 0.0000 0.0000
Pt 0.0000 0.0000 0.5000
Pt 0.0000 0.5000 0.0000

---

Run x
BAsPt3 | PBE | optimized geometry

Values from the calculation:
Total magnetization, μB/cell: 0.00
Symmetry: Pm-3m, No. 221

abc: 4.2529 4.2529 4.2529
angles: 90.00 90.00 90.00
Fractional positions:
Pt 0.5000 0.0000 0.0000
Pt 0.0000 0.5000 0.0000
B 0.0000 0.0000 0.0000
As 0.5000 0.5000 0.5000
Pt 0.0000 0.0000 0.5000

---

Looking at the structures above, which would you pick as the most stable? I would pick run x.